# 1
Below is DyRh at its PBEsol-relaxed geometry, with properties calculated at the meta-GGA SCAN level.

a = 3.367 Å, b = 3.367 Å, c = 3.367 Å
α = 90.00°, β = 90.00°, γ = 90.00°
Positions (direct):
Rh (0.500, 0.500, 0.500)
Dy (0.000, 0.000, 0.000)

Output
The calculation puts the calculated formation energy at -193 kJ/mol of formula units.

# 2
Below is CoGeAs2Se at its PBEsol-relaxed geometry, with properties calculated at the meta-GGA SCAN level.

a = 4.781 Å, b = 4.781 Å, c = 4.884 Å
α = 90.00°, β = 90.00°, γ = 90.00°
Last column: magnetic moment on the atom in μB.
Positions (direct):
As (0.500, 0.000, 0.000)  -0.03
As (0.000, 0.500, 0.000)  -0.03
Ge (0.000, 0.000, 0.000)  0.00
Se (0.000, 0.000, 0.500)  -0.03
Co (0.500, 0.500, 0.500)  2.17

Output
The uncorrected formation energy comes out at 1099.5 meV/atom.

# 3
Below is Li2ZnTc at its PBEsol-relaxed geometry, with properties calculated at the meta-GGA SCAN level.

a = 2.495 Å, b = 4.595 Å, c = 5.261 Å
α = 115.89°, β = 103.72°, γ = 90.00°
Positions (direct):
Zn (0.261, 0.761, 0.523)
Li (0.737, 0.237, 0.474)
Tc (0.505, 0.505, 0.011)
Li (0.996, 0.996, 0.992)

Output
The calculation puts the calculated formation energy at 69 kJ/mol of formula units.

# 4
Below is SrPt2Pb at its PBEsol-relaxed geometry, with properties calculated at the meta-GGA SCAN level.

a = 4.666 Å, b = 4.666 Å, c = 5.769 Å
α = 66.15°, β = 66.15°, γ = 60.00°
Positions (direct):
Sr (0.500, 0.500, 0.500)
Pb (0.000, 0.000, 0.000)
Pt (0.299, 0.299, 0.104)
Pt (0.701, 0.701, 0.896)

Output
The calculation puts the calculated formation energy at -213 kJ/mol of formula units.

# 5
Below is CuRe2P at its PBEsol-relaxed geometry, with properties calculated at the meta-GGA SCAN level.

a = 4.249 Å, b = 4.249 Å, c = 4.249 Å
α = 60.00°, β = 60.00°, γ = 60.00°
Positions (direct):
Cu (0.500, 0.500, 0.500)
P (0.250, 0.250, 0.250)
Re (0.750, 0.750, 0.750)
Re (0.000, 0.000, 0.000)

Output
The calculation puts the calculated formation energy at 192 kJ/mol of formula units.

# 6
Below is SiP2Ru at its PBEsol-relaxed geometry, with properties calculated at the meta-GGA SCAN level.

a = 2.937 Å, b = 2.937 Å, c = 6.606 Å
α = 90.00°, β = 90.00°, γ = 90.00°
Positions (direct):
P (0.000, 0.000, 0.928)
P (0.500, 0.500, 0.306)
Ru (0.000, 0.000, 0.515)
Si (0.500, 0.500, 0.751)

Output
The uncorrected formation energy comes out at 72.2 meV/atom.

# 7
Below is InCo3Mo at its PBEsol-relaxed geometry, with properties calculated at the meta-GGA SCAN level.

a = 4.350 Å, b = 4.350 Å, c = 4.350 Å
α = 90.00°, β = 90.00°, γ = 90.00°
Positions (direct):
Co (0.000, 0.500, 0.000)
Co (0.500, 0.000, 0.000)
In (0.500, 0.500, 0.500)
Co (0.000, 0.000, 0.500)
Mo (0.000, 0.000, 0.000)

Output
The calculation puts the calculated formation energy at 728 kJ/mol of formula units.

# 8
Below is InAgBr2 at its PBEsol-relaxed geometry, with properties calculated at the meta-GGA SCAN level.

a = 5.186 Å, b = 5.186 Å, c = 5.186 Å
α = 60.00°, β = 60.00°, γ = 60.00°
Positions (direct):
Br (0.250, 0.250, 0.250)
In (0.500, 0.500, 0.500)
Br (0.750, 0.750, 0.750)
Ag (0.000, 0.000, 0.000)

Output
The uncorrected formation energy comes out at -342.3 meV/atom. The energy above the lowest structure with this stoichiometry is 0.0 meV per atom.

# 9
Below is K3NbHOF7 at its PBEsol-relaxed geometry, with properties calculated at the meta-GGA SCAN level.

a = 6.865 Å, b = 8.255 Å, c = 8.255 Å
α = 115.51°, β = 92.17°, γ = 92.17°
Last column: magnetic moment on the atom in μB.
Positions (direct):
K (0.278, 0.873, 0.673)  0.00
F (0.175, 0.597, 0.965)  0.00
K (0.722, 0.127, 0.327)  0.00
K (0.778, 0.673, 0.873)  0.00
F (0.250, 0.683, 0.317)  0.03
F (0.470, 0.221, 0.857)  0.00
K (0.222, 0.327, 0.127)  0.00
F (0.675, 0.965, 0.597)  0.00
H (0.500, 0.500, 0.500)  0.00
F (0.024, 0.356, 0.398)  0.00
F (0.030, 0.143, 0.779)  0.00
O (0.250, 0.960, 0.040)  0.06
Nb (0.750, 0.166, 0.834)  0.00
F (0.976, 0.644, 0.602)  0.00
H (0.000, 0.500, 0.500)  0.00
F (0.325, 0.035, 0.403)  0.00
O (0.750, 0.040, 0.960)  0.06
K (0.250, 0.343, 0.657)  0.00
Nb (0.250, 0.834, 0.166)  0.00
F (0.970, 0.857, 0.221)  0.00
F (0.476, 0.602, 0.644)  0.00
F (0.530, 0.779, 0.143)  0.00
K (0.750, 0.657, 0.343)  0.00
F (0.524, 0.398, 0.356)  0.00
F (0.825, 0.403, 0.035)  0.00
F (0.750, 0.317, 0.683)  0.03

Output
The raw total energy comes out at -130.3 eV per formula unit.

# 10
Below is MgOsBr4 at its PBEsol-relaxed geometry, with properties calculated at the meta-GGA SCAN level.

a = 5.999 Å, b = 5.999 Å, c = 5.999 Å
α = 60.00°, β = 60.00°, γ = 60.00°
Last column: magnetic moment on the atom in μB.
Positions (direct):
Os (0.000, 0.000, 0.000)  2.96
Br (0.374, 0.374, 0.374)  -0.26
Mg (0.750, 0.750, 0.750)  -0.07
Br (0.374, 0.877, 0.374)  -0.26
Br (0.374, 0.374, 0.877)  -0.26
Br (0.877, 0.374, 0.374)  -0.26

Output
The uncorrected formation energy comes out at 1423.6 meV/atom.

# 11
Below is Tc2Te5 at its PBEsol-relaxed geometry, with properties calculated at the meta-GGA SCAN level.

a = 12.892 Å, b = 12.949 Å, c = 14.169 Å
α = 90.00°, β = 90.00°, γ = 90.00°
Positions (direct):
Te (0.418, 0.943, 0.787)
Tc (0.492, 0.366, 0.551)
Te (0.918, 0.057, 0.713)
Te (0.185, 0.616, 0.883)
Tc (0.008, 0.366, 0.051)
Te (0.500, 0.000, 0.500)
Te (0.685, 0.384, 0.617)
Tc (0.867, 0.471, 0.952)
Tc (0.059, 0.953, 0.613)
Te (0.178, 0.076, 0.880)
Te (0.935, 0.288, 0.890)
Te (0.935, 0.788, 0.610)
Te (0.000, 0.000, 0.000)
Te (0.178, 0.576, 0.620)
Te (0.042, 0.178, 0.127)
Te (0.858, 0.613, 0.276)
Te (0.918, 0.557, 0.787)
Te (0.582, 0.557, 0.287)
Te (0.798, 0.153, 0.484)
Te (0.642, 0.613, 0.776)
Te (0.500, 0.500, 0.000)
Te (0.082, 0.943, 0.287)
Te (0.202, 0.347, 0.984)
Te (0.458, 0.678, 0.873)
Te (0.142, 0.887, 0.776)
Tc (0.992, 0.134, 0.551)
Tc (0.941, 0.547, 0.113)
Tc (0.492, 0.866, 0.949)
Te (0.322, 0.076, 0.380)
Tc (0.008, 0.866, 0.449)
Tc (0.508, 0.134, 0.051)
Tc (0.941, 0.047, 0.387)
Te (0.435, 0.212, 0.890)
Te (0.542, 0.822, 0.373)
Te (0.458, 0.178, 0.627)
Te (0.565, 0.788, 0.110)
Te (0.000, 0.500, 0.500)
Te (0.958, 0.322, 0.627)
Te (0.315, 0.116, 0.117)
Te (0.082, 0.443, 0.213)
Te (0.298, 0.847, 0.016)
Te (0.315, 0.616, 0.383)
Tc (0.633, 0.471, 0.452)
Tc (0.367, 0.029, 0.952)
Te (0.858, 0.113, 0.224)
Tc (0.441, 0.453, 0.387)
Te (0.358, 0.387, 0.224)
Te (0.815, 0.884, 0.383)
Te (0.042, 0.678, 0.373)
Tc (0.059, 0.453, 0.887)
Te (0.435, 0.712, 0.610)
Te (0.202, 0.847, 0.516)
Te (0.678, 0.424, 0.880)
Tc (0.559, 0.047, 0.887)
Te (0.142, 0.387, 0.724)
Te (0.702, 0.153, 0.984)
Te (0.815, 0.384, 0.117)
Tc (0.559, 0.547, 0.613)
Tc (0.367, 0.529, 0.548)
Te (0.358, 0.887, 0.276)
Te (0.702, 0.653, 0.516)
Tc (0.133, 0.029, 0.452)
Te (0.065, 0.212, 0.390)
Te (0.958, 0.822, 0.873)
Tc (0.633, 0.971, 0.048)
Te (0.185, 0.116, 0.617)
Te (0.642, 0.113, 0.724)
Te (0.542, 0.322, 0.127)
Te (0.418, 0.443, 0.713)
Te (0.798, 0.653, 0.016)
Te (0.685, 0.884, 0.883)
Te (0.822, 0.924, 0.120)
Te (0.822, 0.424, 0.380)
Tc (0.992, 0.634, 0.949)
Te (0.565, 0.288, 0.390)
Te (0.678, 0.924, 0.620)
Tc (0.133, 0.529, 0.048)
Te (0.582, 0.057, 0.213)
Tc (0.867, 0.971, 0.548)
Te (0.065, 0.712, 0.110)
Tc (0.441, 0.953, 0.113)
Te (0.298, 0.347, 0.484)
Te (0.322, 0.576, 0.120)
Tc (0.508, 0.634, 0.449)

Output
The uncorrected formation energy comes out at -301.9 meV/atom.

# 12
Below is YZr2Zn at its PBEsol-relaxed geometry, with properties calculated at the meta-GGA SCAN level.

a = 4.932 Å, b = 4.932 Å, c = 4.932 Å
α = 60.00°, β = 60.00°, γ = 60.00°
Last column: magnetic moment on the atom in μB.
Positions (direct):
Zr (0.750, 0.750, 0.750)  0.91
Zn (0.250, 0.250, 0.250)  -0.02
Y (0.500, 0.500, 0.500)  0.20
Zr (0.000, 0.000, 0.000)  0.34

Output
The calculation puts the calculated formation energy at 28 kJ/mol of formula units.

The spin magnetization results, record by record, are as follows: 0.00; 2.10; 0.00; 0.00; 0.00; 0.00; 0.00; 0.00; 0.20; 2.17; 0.00; 2.03 μB/cell.
The volume results, record by record, are as follows: 38; 112; 52; 96; 54; 57; 82; 99; 211; 153; 197; 85 Å³/f.u..